The following is a DFT calculation (PBE) of a relaxed CrCo2GeP crystal.

Unit cell a=4.071 b=4.071 c=4.204 alpha=90.00 beta=90.00 gamma=90.00
Fractional coordinates of all 5 atoms:
Cr  0.000  0.000  0.000
Co  0.000  0.500  0.500
Co  0.500  0.000  0.500
Ge  0.500  0.500  0.000
P  0.000  0.000  0.500

Output
- magnetization (μB per formula unit) = 1.5
- VASP energy (eV per formula unit) = -32.157